Record 1
Computed, not measured: crystalline Se3IO at its relaxed geometry at the PBE-GGA level of DFT.

Lattice parameters (Å, degrees): 5.4000 5.4000 5.4000 90.00 90.00 90.00
Sites, in units of the cell vectors:
1 I 0.0000 0.0000 0.0000
2 O 0.5000 0.5000 0.5000
3 Se 0.0000 0.5000 0.0000
4 Se 0.0000 0.0000 0.5000
5 Se 0.5000 0.0000 0.0000

Computed properties:
* formation energy (no corrections): 1.5613 eV/atom
* final energy: -1.831 eV per atom
* energy above the most stable polymorph in this dataset: 0.878 eV/atom
* magnetization: 0.001 Bohr magnetons per cell

---

Record 2
Computed, not measured: crystalline Pr3Ho2Tm5 at its relaxed geometry at the PBE-GGA level of DFT.

Lattice parameters (Å, degrees): 9.3806 9.3635 11.1364 124.89 124.93 68.90
Sites, in units of the cell vectors:
1 Pr 0.2359 0.9859 0.9718
2 Pr 0.7641 0.0141 0.0282
3 Pr 0.7311 0.4766 0.2526
4 Pr 0.2689 0.5234 0.7474
5 Pr 0.0216 0.7761 0.2527
6 Pr 0.9784 0.2239 0.7473
7 Ho 0.7658 0.0134 0.7313
8 Ho 0.2342 0.9866 0.2687
9 Ho 0.4655 0.7179 0.7313
10 Ho 0.5345 0.2821 0.2687
11 Tm 0.2722 0.5222 0.0444
12 Tm 0.7278 0.4778 0.9556
13 Tm 0.0273 0.7773 0.5546
14 Tm 0.5291 0.2791 0.5582
15 Tm 0.9727 0.2227 0.4454
16 Tm 0.4709 0.7209 0.4418
17 Tm 0.8509 0.6023 0.7187
18 Tm 0.1491 0.3977 0.2813
19 Tm 0.3679 0.1164 0.7187
20 Tm 0.6321 0.8836 0.2813

Computed properties:
* final energy: -4.392 eV per atom
* magnetization: 0.000 Bohr magnetons per cell

---

Record 3
Computed, not measured: crystalline Sc2Sb2Pb at its relaxed geometry at the PBE-GGA level of DFT.

Lattice parameters (Å, degrees): 7.9777 7.9777 3.9494 90.00 90.00 90.00
Sites, in units of the cell vectors:
1 Pb 0.0000 0.0000 0.0000
2 Pb 0.5000 0.5000 0.0000
3 Sb 0.1582 0.6582 0.5000
4 Sb 0.6582 0.8418 0.5000
5 Sb 0.8418 0.3418 0.5000
6 Sb 0.3418 0.1582 0.5000
7 Sc 0.3537 0.8537 0.0000
8 Sc 0.8537 0.6463 0.0000
9 Sc 0.6463 0.1463 0.0000
10 Sc 0.1463 0.3537 0.0000

Computed properties:
* formation energy (no corrections): -0.5307 eV/atom
* final energy: -5.454 eV per atom
* energy above the most stable polymorph in this dataset: 0.000 eV/atom
* magnetization: 0.000 Bohr magnetons per cell

---

Record 4
Computed, not measured: crystalline Nd2Sm8In at its relaxed geometry at the PBE-GGA level of DFT.

Lattice parameters (Å, degrees): 5.5601 7.7372 9.9458 112.89 106.23 90.00
Sites, in units of the cell vectors:
1 Nd 0.1930 0.6930 0.3860
2 Nd 0.8070 0.3070 0.6140
3 Sm 0.6360 0.8638 0.2720
4 Sm 0.3640 0.5918 0.7280
5 Sm 0.1769 0.1769 0.3538
6 Sm 0.0000 0.2575 0.0000
7 Sm 0.8231 0.8231 0.6462
8 Sm 0.6360 0.4082 0.2720
9 Sm 0.3640 0.1362 0.7280
10 Sm 0.0000 0.7425 0.0000
11 In 0.5000 0.0000 0.0000

Computed properties:
* final energy: -4.541 eV per atom
* energy above the most stable polymorph in this dataset: 0.070 eV/atom
* magnetization: 0.000 Bohr magnetons per cell

---

Record 5
Computed, not measured: crystalline TaSe at its relaxed geometry at the PBE-GGA level of DFT.

Lattice parameters (Å, degrees): 3.3939 3.3939 6.2544 90.00 90.00 90.00
Sites, in units of the cell vectors:
1 Se 0.0000 0.0000 0.9580
2 Se 0.5000 0.5000 0.2920
3 Ta 0.0000 0.0000 0.4730
4 Ta 0.5000 0.5000 0.7770

Computed properties:
* formation energy (no corrections): -0.3533 eV/atom
* final energy: -8.022 eV per atom
* magnetization: 0.000 Bohr magnetons per cell

---

Record 6
Computed, not measured: crystalline BaSr3Ir at its relaxed geometry at the PBE-GGA level of DFT.

Lattice parameters (Å, degrees): 7.6530 8.6114 8.7126 60.54 108.40 90.16
Sites, in units of the cell vectors:
1 Sr 0.5486 0.6440 0.1346
2 Sr 0.0322 0.8947 0.1443
3 Sr 0.0341 0.3969 0.6165
4 Sr 0.5381 0.1156 0.1499
5 Sr 0.5368 0.1399 0.6196
6 Sr 0.0447 0.8956 0.6029
7 Ir 0.7942 0.7492 0.3790
8 Ir 0.2866 0.0387 0.3712
9 Ba 0.5417 0.6559 0.6097
10 Ba 0.0495 0.3937 0.1264

Computed properties:
* final energy: -3.316 eV per atom
* energy above the most stable polymorph in this dataset: 0.014 eV/atom
* magnetization: 0.000 Bohr magnetons per cell

---

Record 7
Computed, not measured: crystalline AgSb2 at its relaxed geometry at the PBE-GGA level of DFT.

Lattice parameters (Å, degrees): 7.9945 7.9945 5.7022 90.00 90.00 155.91
Sites, in units of the cell vectors:
1 Ag 0.7501 0.2499 0.7500
2 Ag 0.2499 0.7501 0.2500
3 Sb 0.0947 0.9053 0.7500
4 Sb 0.4056 0.5944 0.7500
5 Sb 0.5944 0.4056 0.2500
6 Sb 0.9053 0.0947 0.2500

Computed properties:
* formation energy (no corrections): 0.1879 eV/atom
* final energy: -3.511 eV per atom
* magnetization: 0.000 Bohr magnetons per cell

---

Record 8
Computed, not measured: crystalline AlBr2Cl at its relaxed geometry at the PBE-GGA level of DFT.

Lattice parameters (Å, degrees): 5.0634 5.0634 3.6958 90.00 90.00 90.00
Sites, in units of the cell vectors:
1 Al 0.0000 0.5000 0.5000
2 Br 0.0000 0.0000 0.0000
3 Br 0.5000 0.5000 0.0000
4 Cl 0.5000 0.0000 0.5000

Computed properties:
* formation energy (no corrections): 0.2028 eV/atom
* final energy: -2.031 eV per atom
* energy above the most stable polymorph in this dataset: 1.397 eV/atom
* magnetization: 0.003 Bohr magnetons per cell

---

Record 9
Computed, not measured: crystalline Ni3IrC at its relaxed geometry at the PBE-GGA level of DFT.

Lattice parameters (Å, degrees): 3.7859 3.7859 3.7859 90.00 90.00 90.00
Sites, in units of the cell vectors:
1 Ni 0.0000 0.5000 0.0000
2 Ni 0.0000 0.0000 0.5000
3 Ni 0.5000 0.0000 0.0000
4 C 0.0000 0.0000 0.0000
5 Ir 0.5000 0.5000 0.5000

Computed properties:
* final energy: -6.736 eV per atom
* energy above the most stable polymorph in this dataset: 0.000 eV/atom
* magnetization: 0.000 Bohr magnetons per cell

---

Record 10
Computed, not measured: crystalline Nd4OsBr2N at its relaxed geometry at the PBE-GGA level of DFT.

Lattice parameters (Å, degrees): 3.9482 6.9117 7.9602 106.42 90.00 90.00
Sites, in units of the cell vectors:
1 Nd 0.5000 0.2159 0.1813
2 Nd 0.5000 0.7841 0.8187
3 Nd 0.0000 0.2372 0.8108
4 Nd 0.0000 0.7628 0.1892
5 Os 0.5000 0.5000 0.0000
6 Br 0.5000 0.0000 0.5000
7 Br 0.0000 0.5000 0.5000
8 N 0.0000 0.0000 0.0000

Computed properties:
* formation energy (no corrections): -0.9604 eV/atom
* final energy: -6.207 eV per atom
* magnetization: 0.000 Bohr magnetons per cell

---

Record 11
Computed, not measured: crystalline PmAg3Au at its relaxed geometry at the PBE-GGA level of DFT.

Lattice parameters (Å, degrees): 6.9259 5.6386 5.4590 90.00 92.62 90.00
Sites, in units of the cell vectors:
1 Pm 0.6652 0.7500 0.3509
2 Pm 0.3348 0.2500 0.6491
3 Ag 0.8193 0.0068 0.8601
4 Ag 0.1807 0.9932 0.1399
5 Ag 0.8193 0.4932 0.8601
6 Ag 0.1807 0.5068 0.1399
7 Ag 0.0945 0.7500 0.5898
8 Ag 0.9055 0.2500 0.4102
9 Au 0.4595 0.7500 0.8348
10 Au 0.5405 0.2500 0.1652

Computed properties:
* final energy: -3.631 eV per atom
* magnetization: 0.000 Bohr magnetons per cell

---

Record 12
Computed, not measured: crystalline AcHoWN4 at its relaxed geometry at the PBE-GGA level of DFT.

Lattice parameters (Å, degrees): 5.6135 5.6561 6.9810 90.00 113.71 90.00
Sites, in units of the cell vectors:
1 Ac 0.6054 0.7500 0.2108
2 Ac 0.3946 0.2500 0.7892
3 Ho 0.1012 0.2500 0.2025
4 Ho 0.8988 0.7500 0.7975
5 W 0.2557 0.7500 0.5113
6 W 0.7443 0.2500 0.4887
7 N 0.9242 0.2500 0.8484
8 N 0.4084 0.7500 0.8168
9 N 0.0758 0.7500 0.1516
10 N 0.5916 0.2500 0.1832
11 N 0.5000 0.5000 0.5000
12 N 0.0000 0.0000 0.5000
13 N 0.5000 0.0000 0.5000
14 N 0.0000 0.5000 0.5000

Computed properties:
* formation energy (no corrections): -1.0164 eV/atom
* final energy: -8.865 eV per atom
* magnetization: 0.000 Bohr magnetons per cell

---

Record 13
Computed, not measured: crystalline NaBe2ZnPd at its relaxed geometry at the PBE-GGA level of DFT.

Lattice parameters (Å, degrees): 4.2944 4.5194 4.2944 90.00 90.00 90.00
Sites, in units of the cell vectors:
1 Na 0.0000 0.0000 0.0000
2 Zn 0.0000 0.5000 0.0000
3 Pd 0.5000 0.5000 0.5000
4 Be 0.0000 0.0000 0.5000
5 Be 0.5000 0.0000 0.0000

Computed properties:
* final energy: -1.544 eV per atom
* magnetization: 0.000 Bohr magnetons per cell

---

Record 14
Computed, not measured: crystalline SrLiSn6 at its relaxed geometry at the PBE-GGA level of DFT.

Lattice parameters (Å, degrees): 4.6719 4.6719 10.7105 90.00 90.00 90.00
Sites, in units of the cell vectors:
1 Sr 0.0000 0.0000 0.0000
2 Li 0.0000 0.0000 0.5000
3 Sn 0.5000 0.0000 0.6664
4 Sn 0.0000 0.5000 0.6664
5 Sn 0.5000 0.5000 0.1407
6 Sn 0.5000 0.5000 0.8593
7 Sn 0.0000 0.5000 0.3336
8 Sn 0.5000 0.0000 0.3336

Computed properties:
* final energy: -3.660 eV per atom
* magnetization: 0.000 Bohr magnetons per cell

---

Record 15
Computed, not measured: crystalline Ru3Pb2 at its relaxed geometry at the PBE-GGA level of DFT.

Lattice parameters (Å, degrees): 9.9858 9.9858 9.9858 20.23 20.23 20.23
Sites, in units of the cell vectors:
1 Ru 0.0000 0.0000 0.0000
2 Ru 0.8137 0.8137 0.8137
3 Ru 0.1863 0.1863 0.1863
4 Pb 0.4006 0.4006 0.4006
5 Pb 0.5994 0.5994 0.5994

Computed properties:
* final energy: -6.300 eV per atom
* energy above the most stable polymorph in this dataset: 0.000 eV/atom
* magnetization: 0.000 Bohr magnetons per cell

---

Record 16
Computed, not measured: crystalline AlW2Cl2 at its relaxed geometry at the PBE-GGA level of DFT.

Lattice parameters (Å, degrees): 3.8490 3.8490 6.6856 73.27 73.27 90.00
Sites, in units of the cell vectors:
1 Al 0.0000 0.0000 0.0000
2 W 0.4007 0.4007 0.1986
3 W 0.5993 0.5993 0.8014
4 Cl 0.7500 0.2500 0.5000
5 Cl 0.2500 0.7500 0.5000

Computed properties:
* formation energy (no corrections): 0.7261 eV/atom
* final energy: -5.942 eV per atom
* energy above the most stable polymorph in this dataset: 0.000 eV/atom
* magnetization: 0.000 Bohr magnetons per cell